An optimized crystal structure of HoV2CdO8, computed with GGA+U.

Cell: 6.028 6.028 6.028 Å, 106.45 106.45 115.70°
Each line ends with the local moment (μB).
Fractional positions:
O 0.468 0.661 0.806  0.14
O 0.339 0.145 0.806  0.14
O 0.855 0.661 0.194  0.14
O 0.926 0.610 0.684  0.13
O 0.339 0.532 0.194  0.14
O 0.390 0.074 0.316  0.13
O 0.758 0.074 0.684  0.13
O 0.926 0.242 0.316  0.13
V 0.750 0.250 0.500  -0.09
V 0.500 0.500 0.000  -0.10
Ho 0.250 0.750 0.500  -0.01
Cd 0.000 0.000 0.000  0.00

Computed properties:
Magnetization in μB/f.u.: 1.09
E_tot in eV per atom: -6.9924
Volume in Å³ per atom: 13.925